Record 1
An optimized crystal structure of ZnSeCl2, computed with GGA-PBE.

Summary:
SG   No. 123
Energy relative to the elements, uncorrected   -0.183 eV/atom
Uncorrected energy   -2.30 eV/atom

Unit cell a=3.048 b=3.048 c=11.309 alpha=90.00 beta=90.00 gamma=90.00
Fractional positions:
Zn 0.500 0.500 0.750
Cl 0.000 0.000 0.885
Cl 0.000 0.000 0.615
Se 0.500 0.500 0.250

---

Record 2
An optimized crystal structure of ZnSeCl2, computed with GGA-PBE.

Summary:
SG   No. 123
Energy relative to the elements, uncorrected   0.315 eV/atom
Uncorrected energy   -1.80 eV/atom

Unit cell a=4.470 b=4.470 c=4.085 alpha=90.00 beta=90.00 gamma=90.00
Fractional positions:
Cl 0.500 0.500 0.000
Cl 0.000 0.000 0.000
Zn 0.000 0.500 0.500
Se 0.500 0.000 0.500

---

Record 3
An optimized crystal structure of ZnSeCl2, computed with GGA-PBE.

Summary:
SG   No. 65
Energy relative to the elements, uncorrected   -0.284 eV/atom
Uncorrected energy   -2.40 eV/atom

Unit cell a=3.416 b=3.416 c=11.697 alpha=90.00 beta=90.00 gamma=122.21
Each line ends with the local moment (μB).
Fractional positions:
Se 0.500 0.500 0.250  0.38
Cl 0.000 0.000 0.610  0.00
Cl 0.000 0.000 0.890  0.00
Zn 0.500 0.500 0.750  0.00

---

Record 4
An optimized crystal structure of Zn2SeCl2, computed with GGA-PBE.

Summary:
SG   No. 139
Energy relative to the elements, uncorrected   -0.162 eV/atom
Uncorrected energy   -2.11 eV/atom

Unit cell a=4.294 b=4.294 c=6.274 alpha=69.99 beta=69.99 gamma=90.00
Each line ends with the local moment (μB).
Fractional positions:
Se 0.000 0.000 0.000  0.13
Zn 0.381 0.381 0.237  0.00
Zn 0.619 0.619 0.763  0.00
Cl 0.250 0.750 0.500  0.02
Cl 0.750 0.250 0.500  0.02

---

- The highest uncorrected energy belongs to which entry?
  number 2

---

- The highest uncorrected energy belongs to which entry?
  number 2